--- w ---
Here is crystalline ZnNi2B at its relaxed geometry from OQMD. Energies are from GGA-PBE.

Structure (extended XYZ):
```
8
Lattice="4.780 -1.425 0.000 4.780 1.425 0.000 -0.313 0.000 6.018" Properties=species:S:1:pos:R:3 pbc="T T T"
Zn 1.104 0.000 2.814
Zn 8.144 0.000 3.203
Ni 2.329 0.000 5.034
Ni 4.341 0.000 1.186
Ni 4.907 0.000 4.832
Ni 6.919 0.000 0.984
B 0.883 0.000 0.300
B 8.365 0.000 5.717
```

Its space-group type is C2/m (12).

***

--- x ---
Here is crystalline ZnNi2B at its relaxed geometry from OQMD. Energies are from GGA-PBE.

Structure (extended XYZ):
```
4
Lattice="0.000 2.738 2.738 2.738 0.000 2.738 2.738 2.738 0.000" Properties=species:S:1:pos:R:3 pbc="T T T"
Zn 0.000 0.000 0.000
Ni 2.738 2.738 2.738
Ni 4.107 4.107 4.107
B 1.369 1.369 1.369
```

Its space-group type is F-43m (216).

***

In kJ/mol of atoms, relative to the most stable structure: w 0.0; x 55.1.

***

--- w ---
Here is crystalline ZnNiB4 at its relaxed geometry from OQMD. Energies are from GGA-PBE.

Structure (extended XYZ):
```
6
Lattice="-1.471 2.629 3.338 1.471 -2.629 3.338 1.471 2.629 -3.338" Properties=species:S:1:pos:R:3 pbc="T T T"
Zn 0.000 0.000 0.000
Ni 0.000 0.000 3.338
B 1.471 -0.849 1.674
B 1.471 0.849 1.674
B 0.000 1.780 1.663
B 0.000 3.478 1.663
```

Its space-group type is Immm (71).

***

--- x ---
Here is crystalline ZnNiB4 at its relaxed geometry from OQMD. Energies are from GGA-PBE.

Structure (extended XYZ):
```
6
Lattice="2.996 0.000 0.000 -1.498 2.594 0.000 0.000 0.000 6.653" Properties=species:S:1:pos:R:3 pbc="T T T"
Zn 0.000 0.000 0.000
Ni 0.000 0.000 3.327
B 0.000 1.730 1.784
B 0.000 1.730 4.869
B 1.498 0.865 1.784
B 1.498 0.865 4.869
```

Its space-group type is P6/mmm (191).

***

In kJ/mol of atoms, relative to the most stable structure: w 0.9; x 0.0.

***

--- w ---
Here is crystalline NpBOs at its relaxed geometry from OQMD. Energies are from GGA-PBE.

Structure (extended XYZ):
```
3
Lattice="0.000 2.845 2.845 2.845 0.000 2.845 2.845 2.845 0.000" Properties=species:S:1:pos:R:3 pbc="T T T"
Np 0.000 0.000 0.000
B 1.422 1.422 1.422
Os 2.845 2.845 2.845
```

Its space-group type is F-43m (216).

***

--- x ---
Here is crystalline NpBOs at its relaxed geometry from OQMD. Energies are from GGA-PBE.

Structure (extended XYZ):
```
3
Lattice="0.000 2.990 2.990 2.990 0.000 2.990 2.990 2.990 0.000" Properties=species:S:1:pos:R:3 pbc="T T T"
Np 0.000 0.000 0.000
B 4.486 4.486 4.486
Os 1.495 1.495 1.495
```

Its space-group type is F-43m (216).

***

In kJ/mol of atoms, relative to the most stable structure: w 0.0; x 90.9.

***

--- w ---
Here is crystalline NpSiB at its relaxed geometry from OQMD. Energies are from GGA-PBE.

Structure (extended XYZ):
```
3
Lattice="0.000 2.967 2.967 2.967 0.000 2.967 2.967 2.967 0.000" Properties=species:S:1:pos:R:3 pbc="T T T"
Np 0.000 0.000 0.000
Si 1.484 1.484 1.484
B 4.451 4.451 4.451
```

Its space-group type is F-43m (216).

***

--- x ---
Here is crystalline NpSiB at its relaxed geometry from OQMD. Energies are from GGA-PBE.

Structure (extended XYZ):
```
3
Lattice="0.000 2.854 2.854 2.854 0.000 2.854 2.854 2.854 0.000" Properties=species:S:1:pos:R:3 pbc="T T T"
Np 0.000 0.000 0.000
Si 2.854 2.854 2.854
B 1.427 1.427 1.427
```

Its space-group type is F-43m (216).

***

In kJ/mol of atoms, relative to the most stable structure: w 67.9; x 0.0.

***

--- w ---
Here is crystalline ReBPO at its relaxed geometry from OQMD. Energies are from GGA-PBE.

Structure (extended XYZ):
```
8
Lattice="3.147 0.000 0.000 0.000 3.147 0.000 0.000 0.000 8.483" Properties=species:S:1:pos:R:3 pbc="T T T"
Re 0.787 0.787 1.378
Re 2.360 2.360 7.105
B 0.787 2.360 4.242
B 2.360 0.787 4.242
P 0.787 0.787 5.680
P 2.360 2.360 2.803
O 0.787 2.360 0.000
O 2.360 0.787 0.000
```

Its space-group type is P4/nmm (129).

***

--- x ---
Here is crystalline ReBPO at its relaxed geometry from OQMD. Energies are from GGA-PBE.

Structure (extended XYZ):
```
8
Lattice="2.749 0.000 0.000 0.000 6.299 0.000 0.000 0.000 5.189" Properties=species:S:1:pos:R:3 pbc="T T T"
Re 0.000 0.458 0.000
Re 0.000 5.841 2.594
B 1.374 2.302 2.458
B 1.374 3.997 5.052
P 1.374 2.151 4.394
P 1.374 4.148 1.799
O 0.000 1.626 1.988
O 0.000 4.673 4.582
```

Its space-group type is Pmc2_1 (26).

***

--- y ---
Here is crystalline ReBPO at its relaxed geometry from OQMD. Energies are from GGA-PBE.

Structure (extended XYZ):
```
8
Lattice="3.611 0.000 0.000 0.000 3.611 0.000 0.000 0.000 7.946" Properties=species:S:1:pos:R:3 pbc="T T T"
Re 0.903 2.708 0.000
Re 2.708 0.903 0.000
B 0.903 0.903 3.487
B 2.708 2.708 4.459
P 0.903 0.903 1.546
P 2.708 2.708 6.400
O 0.903 2.708 3.973
O 2.708 0.903 3.973
```

Its space-group type is P4/nmm (129).

***

In kJ/mol of atoms, relative to the most stable structure: w 76.3; x 0.0; y 26.7.

***

--- w ---
Here is crystalline ReBPO at its relaxed geometry from OQMD. Energies are from GGA-PBE.

Structure (extended XYZ):
```
8
Lattice="3.142 0.000 0.000 0.000 3.142 0.000 0.000 0.000 8.546" Properties=species:S:1:pos:R:3 pbc="T T T"
Re 0.785 0.785 1.375
Re 2.356 2.356 7.171
B 0.785 2.356 4.273
B 2.356 0.785 4.273
P 0.785 0.785 5.722
P 2.356 2.356 2.824
O 0.785 2.356 0.000
O 2.356 0.785 0.000
```

Its space-group type is P4/nmm (129).

***

--- x ---
Here is crystalline ReBPO at its relaxed geometry from OQMD. Energies are from GGA-PBE.

Structure (extended XYZ):
```
8
Lattice="2.881 0.000 0.000 0.000 7.778 0.000 0.000 0.000 4.500" Properties=species:S:1:pos:R:3 pbc="T T T"
Re 0.000 0.519 0.000
Re 0.000 7.260 2.250
B 1.441 3.212 2.569
B 1.441 4.567 0.318
P 0.000 1.818 2.060
P 0.000 5.961 4.310
O 1.441 3.481 3.945
O 1.441 4.298 1.695
```

Its space-group type is Pmc2_1 (26).

***

In kJ/mol of atoms, relative to the most stable structure: w 87.5; x 0.0.